Density functional theory data (GGA-PBE) for a geometry-optimized LaW3Br structure.

Cell lengths 4.763, 4.763, 4.763 Å; angles 90.00, 90.00, 90.00 degrees
Last column: magnetic moment on the atom in μB.
Atoms (fractional coordinates):
Br1 0.000 0.000 0.000  0.00
La1 0.500 0.500 0.500  0.09
W1 0.000 0.500 0.000  0.29
W2 0.000 0.000 0.500  0.49
W3 0.500 0.000 0.000  0.17

Summary:
The calculated total energy is -7.3397 eV/atom.